# 1
Below is an optimized crystal structure of Zr3TaSb, with properties calculated at the PBE level.

```
data_Zr3TaSb
_chemical_formula_sum 'Zr3 Ta1 Sb1'
_space_group_name_H-M_alt 'P m -3 m'
_space_group_IT_number 221
_space_group_name_Hall '-P 4 2 3'
_cell_length_a 5.1191
_cell_length_b 5.1191
_cell_length_c 5.1191
_cell_angle_alpha 90.00
_cell_angle_beta 90.00
_cell_angle_gamma 90.00
loop_
_atom_site_label
_atom_site_fract_x
_atom_site_fract_y
_atom_site_fract_z
_atom_site_occupancy
Zr1 0.0000 0.0000 0.5000 1
Ta1 0.0000 0.0000 0.0000 1
Sb1 0.5000 0.5000 0.5000 1
```

Properties
Size of the total moment: 1.148 μB/f.u.
Density: 7.13 g/cm3
Uncorrected energy: -37.9 eV/f.u.
Crystal system: cubic


# 2
Below is an optimized crystal structure of ZrTa2Sb, with properties calculated at the PBE level.

```
data_ZrTa2Sb
_chemical_formula_sum 'Zr1 Ta2 Sb1'
_space_group_name_H-M_alt 'P 4 m m'
_space_group_IT_number 99
_space_group_name_Hall 'P 4 -2'
_cell_length_a 3.5934
_cell_length_b 3.5934
_cell_length_c 6.2219
_cell_angle_alpha 90.00
_cell_angle_beta 90.00
_cell_angle_gamma 90.00
loop_
_atom_site_label
_atom_site_fract_x
_atom_site_fract_y
_atom_site_fract_z
_atom_site_occupancy
Zr1 0.0000 0.0000 0.0000 1
Ta1 0.0000 0.0000 0.5120 1
Ta2 0.5000 0.5000 0.7427 1
Sb1 0.5000 0.5000 0.2598 1
```

Properties
Size of the total moment: 0.000 μB/f.u.
Density: 11.88 g/cm3
Uncorrected energy: -37.0 eV/f.u.
Crystal system: tetragonal


# 3
Below is an optimized crystal structure of Tb5Sb, with properties calculated at the PBE level.

```
data_Tb5Sb
_chemical_formula_sum 'Tb10 Sb2'
_space_group_name_H-M_alt 'C m m m'
_space_group_IT_number 65
_space_group_name_Hall '-C 2 2'
_cell_length_a 4.8274
_cell_length_b 14.9274
_cell_length_c 4.8759
_cell_angle_alpha 90.00
_cell_angle_beta 90.00
_cell_angle_gamma 90.00
loop_
_atom_site_label
_atom_site_fract_x
_atom_site_fract_y
_atom_site_fract_z
_atom_site_occupancy
Tb1 0.0000 0.0000 0.0000 1
Tb2 0.0000 0.1606 0.5000 1
Tb3 0.0000 0.3343 0.0000 1
Sb1 0.0000 0.5000 0.5000 1
```

Properties
Size of the total moment: 0.000 μB/f.u.
Density: 8.66 g/cm3
Uncorrected energy: -29.2 eV/f.u.
Crystal system: orthorhombic


# 4
Below is an optimized crystal structure of TbSb6, with properties calculated at the PBE level.

```
data_TbSb6
_chemical_formula_sum 'Tb2 Sb12'
_space_group_name_H-M_alt 'I m -3 m'
_space_group_IT_number 229
_space_group_name_Hall '-I 4 2 3'
_cell_length_a 8.3204
_cell_length_b 8.3204
_cell_length_c 8.3204
_cell_angle_alpha 90.00
_cell_angle_beta 90.00
_cell_angle_gamma 90.00
loop_
_atom_site_label
_atom_site_fract_x
_atom_site_fract_y
_atom_site_fract_z
_atom_site_occupancy
Tb1 0.0000 0.0000 0.0000 1
Sb1 0.0000 0.2500 0.5000 1
```

Properties
Size of the total moment: 0.411 μB/f.u.
Density: 5.13 g/cm3
Uncorrected energy: -25.3 eV/f.u.
Crystal system: cubic